Computed, not measured: a relaxed structure of SrTmPb5 at the PBE level of DFT.

Cell and atoms, written as extended XYZ:
```
7
Lattice="-4.6157 -0.9775 1.0647 -0.2545 -2.9576 -3.8188 2.8383 -7.3820 5.5279" Properties=species:S:1:pos:R:3 pbc="T T T"
Sr 1.4192 -3.6910 2.7640
Tm -2.4351 -1.9675 -1.3771
Pb 2.0735 -7.2025 2.3768
Pb 0.5103 -3.1370 -0.6677
Pb -0.1071 -6.2125 4.8186
Pb -1.6703 -2.1469 1.7740
Pb -1.0159 -5.6585 1.3869
```

ρ in g/cm3: 9.51
M_tot in μB/atom: 0.00
Formation enthalpy at 0 K in eV per atom: -0.210
Space group: P4/mmm, No. 123
VASP energy in Ry per atom: -0.2747